[1]
Density functional theory data (meta-GGA SCAN) for a crystal of Ca3ReOs relaxed with PBEsol.

a b c (Å): 5.2014 5.2014 5.2014
angles (deg): 90.00 90.00 90.00
Closest atoms and distances in Å follow each position.
Fractional coordinates of all 5 atoms:
Re1 0.0000 0.0000 0.0000  6 Ca 2.60
Ca1 0.0000 0.0000 0.5000  2 Re 2.60
Ca2 0.0000 0.5000 0.0000  2 Re 2.60
Ca3 0.5000 0.0000 0.0000  2 Re 2.60
Os1 0.5000 0.5000 0.5000  12 Ca 3.68


[2]
Density functional theory data (meta-GGA SCAN) for a crystal of HfIn2CoPd relaxed with PBEsol.

a b c (Å): 4.5886 4.8636 4.8636
angles (deg): 90.00 90.00 90.00
Closest atoms and distances in Å follow each position.
Fractional coordinates of all 5 atoms:
In1 0.0000 0.0000 0.5000  2 Pd 2.43
Hf1 0.5000 0.5000 0.5000  8 In 3.34, 4 Co 3.44
Co1 0.5000 0.0000 0.0000  2 Pd 2.29
Pd1 0.0000 0.0000 0.0000  2 Co 2.29, 4 In 2.43
In2 0.0000 0.5000 0.0000  2 Pd 2.43


The total magnetization results, record by record, are as follows: 3.608; 2.251 μB/f.u..
The DOS(E_F) results, record by record, are as follows: 4.26; 2.61 states/eV/cell.
The total energy results, record by record, are as follows: -1.2002; -1.2967 hartree per atom.